1.
# PBE MgTaCoHg, relaxed
data_MgTaCoHg
_cell_length_a 4.540
_cell_length_b 4.540
_cell_length_c 4.540
_cell_angle_alpha 60.00
_cell_angle_beta 60.00
_cell_angle_gamma 60.00
_symmetry_space_group_name_H-M 'P 1'
_symmetry_Int_Tables_number 1
loop_
_symmetry_equiv_pos_as_xyz
'x,y,z'
loop_
_atom_site_label
_atom_site_type_symbol
_atom_site_fract_x
_atom_site_fract_y
_atom_site_fract_z
Ta1 Ta 0.500 0.500 0.500
Hg1 Hg 0.250 0.250 0.250
Co1 Co 0.000 0.000 0.000
Mg1 Mg 0.750 0.750 0.750
# Crystal system: cubic

2.
# PBE MgTaCoHg, relaxed
data_MgTaCoHg
_cell_length_a 4.476
_cell_length_b 4.476
_cell_length_c 4.476
_cell_angle_alpha 60.00
_cell_angle_beta 60.00
_cell_angle_gamma 60.00
_symmetry_space_group_name_H-M 'P 1'
_symmetry_Int_Tables_number 1
loop_
_symmetry_equiv_pos_as_xyz
'x,y,z'
loop_
_atom_site_label
_atom_site_type_symbol
_atom_site_fract_x
_atom_site_fract_y
_atom_site_fract_z
Mg1 Mg 0.750 0.750 0.750
Hg1 Hg 0.000 0.000 0.000
Co1 Co 0.250 0.250 0.250
Ta1 Ta 0.500 0.500 0.500
# Crystal system: cubic

3.
# PBE MgTaCoHg, relaxed
data_MgTaCoHg
_cell_length_a 4.545
_cell_length_b 4.545
_cell_length_c 4.545
_cell_angle_alpha 60.00
_cell_angle_beta 60.00
_cell_angle_gamma 60.00
_symmetry_space_group_name_H-M 'P 1'
_symmetry_Int_Tables_number 1
loop_
_symmetry_equiv_pos_as_xyz
'x,y,z'
loop_
_atom_site_label
_atom_site_type_symbol
_atom_site_fract_x
_atom_site_fract_y
_atom_site_fract_z
Ta1 Ta 0.250 0.250 0.250
Mg1 Mg 0.750 0.750 0.750
Hg1 Hg 0.000 0.000 0.000
Co1 Co 0.500 0.500 0.500
# Crystal system: cubic

4.
# PBE MgTlCoHg, relaxed
data_MgTlCoHg
_cell_length_a 4.716
_cell_length_b 4.716
_cell_length_c 4.716
_cell_angle_alpha 60.00
_cell_angle_beta 60.00
_cell_angle_gamma 60.00
_symmetry_space_group_name_H-M 'P 1'
_symmetry_Int_Tables_number 1
loop_
_symmetry_equiv_pos_as_xyz
'x,y,z'
loop_
_atom_site_label
_atom_site_type_symbol
_atom_site_fract_x
_atom_site_fract_y
_atom_site_fract_z
Hg1 Hg 0.500 0.500 0.500
Mg1 Mg 0.250 0.250 0.250
Tl1 Tl 0.000 0.000 0.000
Co1 Co 0.750 0.750 0.750
# Crystal system: cubic

5.
# PBE NaCoHgMo, relaxed
data_NaCoHgMo
_cell_length_a 4.556
_cell_length_b 4.556
_cell_length_c 4.556
_cell_angle_alpha 60.00
_cell_angle_beta 60.00
_cell_angle_gamma 60.00
_symmetry_space_group_name_H-M 'P 1'
_symmetry_Int_Tables_number 1
loop_
_symmetry_equiv_pos_as_xyz
'x,y,z'
loop_
_atom_site_label
_atom_site_type_symbol
_atom_site_fract_x
_atom_site_fract_y
_atom_site_fract_z
Hg1 Hg 0.500 0.500 0.500
Mo1 Mo 0.250 0.250 0.250
Na1 Na 0.750 0.750 0.750
Co1 Co 0.000 0.000 0.000
# Crystal system: cubic

6.
# PBE NaCoHgMo, relaxed
data_NaCoHgMo
_cell_length_a 4.448
_cell_length_b 4.448
_cell_length_c 4.448
_cell_angle_alpha 60.00
_cell_angle_beta 60.00
_cell_angle_gamma 60.00
_symmetry_space_group_name_H-M 'P 1'
_symmetry_Int_Tables_number 1
loop_
_symmetry_equiv_pos_as_xyz
'x,y,z'
loop_
_atom_site_label
_atom_site_type_symbol
_atom_site_fract_x
_atom_site_fract_y
_atom_site_fract_z
Co1 Co 0.250 0.250 0.250
Na1 Na 0.750 0.750 0.750
Hg1 Hg 0.500 0.500 0.500
Mo1 Mo 0.000 0.000 0.000
# Crystal system: cubic

7.
# PBE CoHgMoPb, relaxed
data_CoHgMoPb
_cell_length_a 4.684
_cell_length_b 4.684
_cell_length_c 4.684
_cell_angle_alpha 60.00
_cell_angle_beta 60.00
_cell_angle_gamma 60.00
_symmetry_space_group_name_H-M 'P 1'
_symmetry_Int_Tables_number 1
loop_
_symmetry_equiv_pos_as_xyz
'x,y,z'
loop_
_atom_site_label
_atom_site_type_symbol
_atom_site_fract_x
_atom_site_fract_y
_atom_site_fract_z
Mo1 Mo 0.250 0.250 0.250
Co1 Co 0.750 0.750 0.750
Hg1 Hg 0.500 0.500 0.500
Pb1 Pb 0.000 0.000 0.000
# Crystal system: cubic

8.
# PBE CoHgMoPb, relaxed
data_CoHgMoPb
_cell_length_a 4.746
_cell_length_b 4.746
_cell_length_c 4.746
_cell_angle_alpha 60.00
_cell_angle_beta 60.00
_cell_angle_gamma 60.00
_symmetry_space_group_name_H-M 'P 1'
_symmetry_Int_Tables_number 1
loop_
_symmetry_equiv_pos_as_xyz
'x,y,z'
loop_
_atom_site_label
_atom_site_type_symbol
_atom_site_fract_x
_atom_site_fract_y
_atom_site_fract_z
Mo1 Mo 0.500 0.500 0.500
Hg1 Hg 0.250 0.250 0.250
Co1 Co 0.750 0.750 0.750
Pb1 Pb 0.000 0.000 0.000
# Crystal system: cubic

no.,energy relative to the lowest polymorph listed for this composition (eV per formula unit)
1,1.22
2,0.00
3,0.01
4,0.00
5,0.30
6,0.00
7,0.00
8,0.64